Record 1
Here is an optimized crystal structure of Sm4DySe7 from the Alexandria database. Energies are from PBE.

abc: 4.0430 7.1119 12.3623
angles: 104.10 90.00 106.51
Fractional positions:
Sm 0.6996 0.3993 0.8098
Sm 0.3004 0.6007 0.1903
Sm 0.9996 0.9993 0.9984
Sm 0.1123 0.2247 0.4237
Dy 0.8871 0.7741 0.5775
Se 0.7425 0.4850 0.3542
Se 0.2632 0.5264 0.6481
Se 0.3389 0.6779 0.9493
Se 0.6603 0.3206 0.0504
Se 0.0385 0.0771 0.7809
Se 0.9603 0.9206 0.2155
Se 0.4972 0.9943 0.5020

## Properties
Symmetry: No. 8
Mass density in g/cm³: 6.63
E_form (uncorrected) in eV per atom: -1.88
Crystal system: monoclinic

***

Record 2
Here is an optimized crystal structure of SmDy4Se5 from the Alexandria database. Energies are from PBE.

abc: 4.0939 7.1029 9.1398
angles: 75.02 77.06 73.25
Fractional positions:
Sm 0.0000 0.0000 0.0000
Dy 0.5986 0.1995 0.6034
Dy 0.2031 0.3936 0.2002
Dy 0.7969 0.6064 0.7998
Dy 0.4014 0.8005 0.3966
Se 0.2026 0.9006 0.6942
Se 0.7974 0.0994 0.3058
Se 0.3962 0.3106 0.8971
Se 0.0000 0.5000 0.5000
Se 0.6038 0.6894 0.1029

## Properties
Symmetry: No. 12
Mass density in g/cm³: 8.18
E_form (uncorrected) in eV per atom: -1.76
Crystal system: monoclinic

***

Record 3
Here is an optimized crystal structure of SmDy3Se4 from the Alexandria database. Energies are from PBE.

abc: 5.8005 5.8005 5.8005
angles: 90.00 90.00 90.00
Fractional positions:
Sm 0.0000 0.0000 0.0000
Dy 0.0000 0.5000 0.5000
Dy 0.5000 0.0000 0.5000
Dy 0.5000 0.5000 0.0000
Se 0.5000 0.0000 0.0000
Se 0.0000 0.5000 0.0000
Se 0.0000 0.0000 0.5000
Se 0.5000 0.5000 0.5000

## Properties
Symmetry: No. 221
Mass density in g/cm³: 8.11
E_form (uncorrected) in eV per atom: -1.75
Crystal system: cubic

***

Record 4
Here is an optimized crystal structure of Sm2DySe4 from the Alexandria database. Energies are from PBE.

abc: 4.0043 7.1677 13.9898
angles: 90.00 90.00 106.22
Fractional positions:
Sm 0.1300 0.2600 0.4291
Sm 0.8700 0.7400 0.9291
Sm 0.1300 0.2600 0.0709
Sm 0.8700 0.7400 0.5709
Dy 0.6276 0.2553 0.7500
Dy 0.3724 0.7447 0.2500
Se 0.7793 0.5587 0.1247
Se 0.7793 0.5587 0.3753
Se 0.2207 0.4413 0.8753
Se 0.2207 0.4413 0.6247
Se 0.9770 0.9541 0.7500
Se 0.0230 0.0459 0.2500
Se 0.5000 0.0000 0.0000
Se 0.5000 0.0000 0.5000

## Properties
Symmetry: No. 63
Mass density in g/cm³: 6.71
E_form (uncorrected) in eV per atom: -1.83
Crystal system: orthorhombic

***

Record 5
Here is an optimized crystal structure of Sm6DySe8 from the Alexandria database. Energies are from PBE.

abc: 8.3097 8.3097 8.3097
angles: 60.00 60.00 60.00
Fractional positions:
Sm 0.0000 0.5000 0.5000
Sm 0.5000 0.0000 0.0000
Sm 0.5000 0.5000 0.0000
Sm 0.0000 0.0000 0.5000
Sm 0.0000 0.5000 0.0000
Sm 0.5000 0.0000 0.5000
Dy 0.0000 0.0000 0.0000
Se 0.7500 0.7500 0.7500
Se 0.2500 0.2500 0.2500
Se 0.7513 0.2487 0.2487
Se 0.2487 0.7513 0.7513
Se 0.2487 0.2487 0.7513
Se 0.7513 0.7513 0.2487
Se 0.7513 0.2487 0.7513
Se 0.2487 0.7513 0.2487

## Properties
Symmetry: No. 225
Mass density in g/cm³: 6.94
E_form (uncorrected) in eV per atom: -1.87
Crystal system: cubic

***

Record 6
Here is an optimized crystal structure of Sm2Dy4Se9 from the Alexandria database. Energies are from PBE.

abc: 7.2571 7.2593 19.5755
angles: 90.01 90.03 60.05
Fractional positions:
Sm 0.9988 0.0018 0.3499
Sm 0.9998 0.9986 0.1498
Sm 0.0012 0.9982 0.6501
Sm 0.0002 0.0014 0.8502
Dy 0.3329 0.3335 0.9859
Dy 0.3341 0.3332 0.4864
Dy 0.6671 0.6665 0.0141
Dy 0.3322 0.3338 0.1821
Dy 0.6659 0.6668 0.5136
Dy 0.6656 0.6670 0.3183
Dy 0.3344 0.3330 0.6817
Dy 0.6678 0.6662 0.8179
Se 0.0011 0.3079 0.7498
Se 0.3081 0.6915 0.7503
Se 0.6923 0.0003 0.7501
Se 0.9989 0.6921 0.2502
Se 0.6919 0.3085 0.2497
Se 0.3077 0.9997 0.2499
Se 0.6570 0.9738 0.4164
Se 0.9725 0.3700 0.4168
Se 0.3682 0.6584 0.4163
Se 0.6294 0.0281 0.0835
Se 0.3424 0.6296 0.0835
Se 0.0279 0.3405 0.0833
Se 0.3430 0.0262 0.5836
Se 0.0275 0.6300 0.5832
Se 0.6318 0.3416 0.5837
Se 0.3706 0.9719 0.9165
Se 0.6576 0.3704 0.9165
Se 0.9721 0.6595 0.9167

## Properties
Symmetry: No. 2
Mass density in g/cm³: 6.17
E_form (uncorrected) in eV per atom: -1.86
Crystal system: triclinic